# 1
{
  "formula": "Rb3HoGa2O6",
  "functional": "PBE-GGA",
  "state": "relaxed",
  "total_energy_ev_per_cell": -67.16,
  "sg": "P-3m1 (164)",
  "lattice_angstrom": [[6.178, 0.000, 0.000], [-3.089, 5.350, 0.000], [0.000, 0.000, 7.410]],
  "species": ["Rb", "Rb", "Rb", "Ho", "Ga", "Ga", "O", "O", "O", "O", "O", "O"],
  "fractional_positions": [[0.333, 0.667, 0.751], [0.667, 0.333, 0.249], [0.000, 0.000, 0.000], [0.000, 0.000, 0.500], [0.667, 0.333, 0.691], [0.333, 0.667, 0.309], [0.667, 0.834, 0.307], [0.166, 0.333, 0.307], [0.166, 0.834, 0.307], [0.834, 0.667, 0.693], [0.333, 0.166, 0.693], [0.834, 0.166, 0.693]]
}

***

# 2
{
  "formula": "AlRhPb2",
  "functional": "PBE-GGA",
  "state": "relaxed",
  "formation_enthalpy_0k_ev_per_atom": 0.2887,
  "sg": "F-43m (216)",
  "lattice_angstrom": [[4.992, 0.000, 0.000], [2.496, 4.323, 0.000], [2.496, 1.441, 4.076]],
  "species": ["Pb", "Pb", "Rh", "Al"],
  "fractional_positions": [[0.000, 0.000, 0.000], [0.250, 0.250, 0.250], [0.750, 0.750, 0.750], [0.500, 0.500, 0.500]]
}

***

# 3
{
  "formula": "BaTc2H",
  "functional": "PBE-GGA",
  "state": "relaxed",
  "sg": "Fm-3m (225)",
  "e_above_lowest_polymorph_ev_per_atom": 1.3886,
  "lattice_angstrom": [[-3.681, -0.237, 2.683], [-2.981, 3.450, 0.092], [-4.139, -0.513, -1.847]],
  "species": ["H", "Ba", "Tc", "Tc"],
  "fractional_positions": [[0.000, 0.000, 0.000], [0.500, 0.500, 0.500], [0.250, 0.250, 0.250], [0.750, 0.750, 0.750]]
}

***

# 4
{
  "formula": "U4AsSe5",
  "functional": "PBE-GGA",
  "state": "relaxed",
  "total_energy_ev_per_cell": -77.23,
  "sg": "C2/m (12)",
  "lattice_angstrom": [[-1.726, -2.169, -2.884], [0.351, -6.724, 4.848], [-6.942, 4.712, 3.384]],
  "species": ["U", "U", "U", "U", "As", "Se", "Se", "Se", "Se", "Se"],
  "fractional_positions": [[0.332, 0.909, 0.663], [0.998, 0.748, 0.996], [0.668, 0.091, 0.337], [0.002, 0.252, 0.004], [0.500, 0.000, 0.000], [0.834, 0.670, 0.669], [0.835, 0.161, 0.669], [0.165, 0.839, 0.331], [0.500, 0.500, 0.000], [0.166, 0.330, 0.331]]
}

***

# 5
{
  "formula": "SnTeOF2",
  "functional": "PBE-GGA",
  "state": "relaxed",
  "sg": "P4/mmm (123)",
  "e_above_lowest_polymorph_ev_per_atom": 0.1727,
  "lattice_angstrom": [[-0.513, -4.721, -0.689], [3.247, 0.162, -3.529], [3.013, -0.727, 2.739]],
  "species": ["Te", "Sn", "O", "F", "F"],
  "fractional_positions": [[0.000, 0.000, 0.000], [0.500, 0.500, 0.500], [0.000, 0.000, 0.500], [0.000, 0.500, 0.000], [0.500, 0.000, 0.000]]
}

***

# 6
{
  "formula": "Ba2Na12Hg7",
  "functional": "PBE-GGA",
  "state": "relaxed",
  "formation_enthalpy_0k_ev_per_atom": -0.2372,
  "sg": "P-6 (174)",
  "lattice_angstrom": [[-3.028, -0.231, 3.337], [-9.387, -2.768, -8.709], [6.853, -9.690, 5.546]],
  "species": ["Ba", "Ba", "Na", "Na", "Na", "Na", "Na", "Na", "Na", "Na", "Na", "Na", "Na", "Na", "Hg", "Hg", "Hg", "Hg", "Hg", "Hg", "Hg"],
  "fractional_positions": [[0.500, 0.000, 0.000], [0.000, 0.667, 0.333], [0.500, 0.900, 0.626], [0.500, 0.726, 0.100], [0.500, 0.374, 0.274], [0.500, 0.242, 0.804], [0.500, 0.562, 0.758], [0.500, 0.196, 0.438], [0.000, 0.061, 0.562], [0.000, 0.502, 0.939], [0.000, 0.438, 0.498], [0.000, 0.757, 0.712], [0.000, 0.955, 0.243], [0.000, 0.288, 0.045], [0.000, 0.333, 0.667], [0.000, 0.045, 0.813], [0.000, 0.768, 0.955], [0.000, 0.187, 0.232], [0.500, 0.619, 0.517], [0.500, 0.898, 0.381], [0.500, 0.483, 0.102]]
}